[1]
A plane-wave DFT calculation with SCAN was carried out for La4Ga2O9 at its PBEsol-relaxed geometry.

Lattice parameters (Å, degrees): 7.9239 11.1361 11.5423 90.00 109.40 90.00
Last column: nearest neighbours and their distance in Å.
Fractional coordinates of all 60 atoms:
La 0.0252 0.9152 0.8076  6 O 2.32-2.49
La 0.0252 0.5848 0.3076  6 O 2.32-2.49
La 0.4786 0.4011 0.7152  7 O 2.35-2.62
La 0.5214 0.9011 0.7848  7 O 2.35-2.62
La 0.5214 0.5989 0.2848  7 O 2.35-2.62
La 0.8358 0.6241 0.9140  6 O 2.40-2.53
La 0.1642 0.1241 0.5860  6 O 2.40-2.53
La 0.6678 0.1228 0.5747  5 O 2.37-2.50
La 0.4786 0.0989 0.2152  7 O 2.35-2.62
La 0.9748 0.0848 0.1924  6 O 2.32-2.49
La 0.1642 0.3759 0.0860  6 O 2.40-2.53
La 0.3322 0.8772 0.4253  5 O 2.37-2.50
La 0.3322 0.6228 0.9253  5 O 2.37-2.50
La 0.6678 0.3772 0.0747  5 O 2.37-2.50
La 0.8358 0.8759 0.4140  6 O 2.40-2.53
La 0.9748 0.4152 0.6924  6 O 2.32-2.49
O 0.7666 0.2185 0.2323  1 Ga 1.86
O 0.9257 0.2679 0.5240  1 Ga 1.82
O 0.5718 0.9898 0.4004  4 La 2.35-2.41
O 0.2248 0.5360 0.6798  1 Ga 1.83
O 0.9245 0.9981 0.6042  4 La 2.39-2.48
O 0.7666 0.2815 0.7323  1 Ga 1.86
O 0.5718 0.5102 0.9004  4 La 2.35-2.41
O 0.7051 0.5362 0.6802  1 Ga 1.84
O 0.0755 0.4981 0.8958  4 La 2.39-2.48
O 0.7854 0.7175 0.2490  1 Ga 1.85
O 0.2334 0.7185 0.2677  1 Ga 1.86
O 0.4282 0.4898 0.0996  4 La 2.35-2.41
O 0.2949 0.4638 0.3198  1 Ga 1.84
O 0.5668 0.2505 0.8851  2 Ga 1.87
O 0.0743 0.7679 0.9760  1 Ga 1.82
O 0.5668 0.2495 0.3851  2 Ga 1.87
O 0.4332 0.7495 0.1149  2 Ga 1.87
O 0.2146 0.2175 0.2510  1 Ga 1.85
O 0.2334 0.7815 0.7677  1 Ga 1.86
O 0.3626 0.2271 0.0396  1 Ga 1.83
O 0.0755 0.0019 0.3958  4 La 2.39-2.48
O 0.2248 0.9640 0.1798  1 Ga 1.83
O 0.9257 0.2321 0.0240  1 Ga 1.82
O 0.6374 0.7729 0.9604  1 Ga 1.83
O 0.7854 0.7825 0.7490  1 Ga 1.85
O 0.6374 0.7271 0.4604  1 Ga 1.83
O 0.7752 0.4640 0.3202  1 Ga 1.83
O 0.2949 0.0362 0.8198  1 Ga 1.84
O 0.0743 0.7321 0.4760  1 Ga 1.82
O 0.4282 0.0102 0.5996  4 La 2.35-2.41
O 0.2146 0.2825 0.7510  1 Ga 1.85
O 0.3626 0.2729 0.5396  1 Ga 1.83
O 0.7752 0.0360 0.8202  1 Ga 1.83
O 0.9245 0.5019 0.1042  4 La 2.39-2.48
O 0.7051 0.9638 0.1802  1 Ga 1.84
O 0.4332 0.7505 0.6149  2 Ga 1.87
Ga 0.3456 0.3110 0.3823  4 O 1.83-1.87
Ga 0.2202 0.6921 0.6292  4 O 1.82-1.87
Ga 0.2202 0.8079 0.1292  4 O 1.82-1.87
Ga 0.7798 0.1921 0.8708  4 O 1.82-1.87
Ga 0.7798 0.3079 0.3708  4 O 1.82-1.87
Ga 0.6544 0.6890 0.6177  4 O 1.83-1.87
Ga 0.3456 0.1890 0.8823  4 O 1.83-1.87
Ga 0.6544 0.8110 0.1177  4 O 1.83-1.87

Values from the calculation:
Space group: P2_1/c, No. 14
Total magnetization, μB per cell: 0.0
Crystal system: monoclinic


[2]
A plane-wave DFT calculation with SCAN was carried out for Li3SF at its PBEsol-relaxed geometry.

Lattice parameters (Å, degrees): 3.8251 3.8251 3.8251 90.00 90.00 90.00
Last column: nearest neighbours and their distance in Å.
Fractional coordinates of all 5 atoms:
F 0.0000 0.0000 0.0000  6 Li 1.91
Li 0.5000 0.0000 0.0000  2 F 1.91
Li 0.0000 0.0000 0.5000  2 F 1.91
Li 0.0000 0.5000 0.0000  2 F 1.91
S 0.5000 0.5000 0.5000  12 Li 2.70

Values from the calculation:
Space group: Pm-3m, No. 221
Total magnetization, μB per cell: 0.0
Crystal system: cubic


[3]
A plane-wave DFT calculation with SCAN was carried out for CoINF2 at its PBEsol-relaxed geometry.

Lattice parameters (Å, degrees): 3.9315 3.9315 3.8954 90.00 90.00 90.00
Last column: nearest neighbours and their distance in Å.
Fractional coordinates of all 5 atoms:
N 0.0000 0.0000 0.5000  2 Co 1.95
F 0.5000 0.0000 0.0000  2 Co 1.97
F 0.0000 0.5000 0.0000  2 Co 1.97
I 0.5000 0.5000 0.5000  8 F 2.77, 4 N 2.78
Co 0.0000 0.0000 0.0000  2 N 1.95, 4 F 1.97

Values from the calculation:
Space group: P4/mmm, No. 123
Total magnetization, μB per cell: 0.6
Crystal system: tetragonal


Listing formation energy without anion corrections for the structures above in their given order: -3.255, -2.093, -0.247 eV per atom.
Listing volume for the structures above in their given order: 16.01, 11.19, 12.04 Å³/atom.